1.
CoRu2Au | PBE | relaxed

Output
Symmetry: Immm (71)
Crystal system: orthorhombic
Theoretical density: 13173 kg/m³

The structure in extended XYZ format:
```
4
Lattice="-1.371 2.209 4.767 1.371 -2.209 4.767 1.371 2.209 -4.767" Properties=species:S:1:pos:R:3 pbc="T T T"
Co 0.000 0.000 0.000
Ru 1.371 0.000 2.067
Ru 0.000 2.209 2.700
Au 0.000 0.000 4.767
```



2.
CoRu2Au | PBE | relaxed

Output
Symmetry: I-42d (122)
Crystal system: tetragonal
Theoretical density: 12349 kg/m³

The structure in extended XYZ format:
```
8
Lattice="-3.501 3.501 2.513 3.501 -3.501 2.513 3.501 3.501 -2.513" Properties=species:S:1:pos:R:3 pbc="T T T"
Co 0.000 0.000 0.000
Co 0.000 3.501 1.256
Ru 5.251 1.370 -0.628
Ru 1.370 1.750 0.628
Ru -1.750 2.131 1.885
Ru 2.131 1.750 3.141
Au 3.501 0.000 1.256
Au 0.000 0.000 2.513
```



The most stable of them is 1.



1.
TlSbOs2 | PBE | relaxed

Output
Symmetry: Fm-3m (225)
Crystal system: cubic
Theoretical density: 16525 kg/m³

The structure in extended XYZ format:
```
4
Lattice="0.000 3.287 3.287 3.287 0.000 3.287 3.287 3.287 0.000" Properties=species:S:1:pos:R:3 pbc="T T T"
Tl 0.000 0.000 0.000
Sb 3.287 3.287 3.287
Os 1.643 1.643 1.643
Os 4.930 4.930 4.930
```



2.
TlSbOs2 | PBE | relaxed

Output
Symmetry: I-4m2 (119)
Crystal system: tetragonal
Theoretical density: 16082 kg/m³

The structure in extended XYZ format:
```
4
Lattice="-2.018 2.018 4.478 2.018 -2.018 4.478 2.018 2.018 -4.478" Properties=species:S:1:pos:R:3 pbc="T T T"
Tl 0.000 0.000 0.000
Sb 0.000 2.018 2.239
Os 2.018 0.000 2.239
Os 0.000 0.000 4.478
```



The most stable of them is 1.



1.
B5C7 | PBE | relaxed

Output
Symmetry: P3m1 (156)
Crystal system: trigonal
Theoretical density: 2947 kg/m³

The structure in extended XYZ format:
```
12
Lattice="2.536 0.000 0.000 -1.268 2.196 0.000 0.000 0.000 13.972" Properties=species:S:1:pos:R:3 pbc="T T T"
B 0.000 0.000 0.000
B 0.000 0.000 1.699
B 0.000 1.464 3.971
B 1.268 0.732 5.040
B 1.268 0.732 12.856
C 0.000 0.000 7.144
C 0.000 0.000 8.690
C 0.000 1.464 2.443
C 0.000 1.464 9.207
C 0.000 1.464 10.752
C 1.268 0.732 6.619
C 1.268 0.732 11.277
```



2.
B5C7 | PBE | relaxed

Output
Symmetry: Cm (8)
Crystal system: monoclinic
Theoretical density: 2762 kg/m³

The structure in extended XYZ format:
```
12
Lattice="2.315 -4.029 0.000 2.315 4.029 0.000 -1.716 0.000 4.451" Properties=species:S:1:pos:R:3 pbc="T T T"
B 0.000 0.000 0.000
B 0.599 1.341 2.444
B 2.312 1.344 0.408
B 0.599 -1.341 2.444
B 2.312 -1.344 0.408
C 1.564 2.717 0.605
C 1.332 2.758 2.279
C 1.525 0.000 0.595
C 1.451 0.000 2.240
C 1.564 -2.717 0.605
C 1.332 -2.758 2.279
C 2.919 0.000 2.776
```



The most stable of them is 1.